Record 1
A relaxed structure of Sr6Au2O. Source: the Alexandria database, functional PBE.

Values from the calculation:
Calculated total energy (eV per atom): -3.352
V (Å³ per atom): 33.75
Total magnetic moment (μB/atom): 0.000

Cell and atoms, written as CIF:
```
data_Sr6Au2O
_space_group_name_H-M_alt 'P 1 21/c 1'
_space_group_IT_number 14
_cell_length_a 7.215
_cell_length_b 8.120
_cell_length_c 12.414
_cell_angle_alpha 90.00
_cell_angle_beta 123.36
_cell_angle_gamma 90.00
loop_
_space_group_symop_operation_xyz
'x,y,z'
'-x,-y,-z'
'-x,y+1/2,-z+1/2'
'x,-y+1/2,z+1/2'
loop_
_atom_site_label
_atom_site_type_symbol
_atom_site_fract_x
_atom_site_fract_y
_atom_site_fract_z
Sr1 Sr 0.111 0.033 0.235
Sr2 Sr 0.219 0.698 0.061
Sr3 Sr 0.362 0.166 0.056
Au1 Au 0.296 0.108 0.754
O1 O 0.000 0.000 0.000
```

=====

Record 2
A relaxed structure of CsBiB2Sb. Source: the Alexandria database, functional PBE.

Values from the calculation:
Calculated total energy (eV per atom): -2.953
V (Å³ per atom): 29.90
Total magnetic moment (μB/atom): 0.000

Cell and atoms, written as CIF:
```
data_CsBiB2Sb
_space_group_name_H-M_alt 'P 4/m m m'
_space_group_IT_number 123
_space_group_name_Hall '-P 4 2'
_cell_length_a 4.952
_cell_length_b 4.952
_cell_length_c 6.097
_cell_angle_alpha 90.00
_cell_angle_beta 90.00
_cell_angle_gamma 90.00
loop_
_atom_site_label
_atom_site_type_symbol
_atom_site_fract_x
_atom_site_fract_y
_atom_site_fract_z
Cs1 Cs 0.000 0.000 0.000
Bi1 Bi 0.500 0.500 0.000
B1 B 0.000 0.500 0.500
Sb1 Sb 0.500 0.500 0.500
```

=====

Record 3
A relaxed structure of PuCo2H8. Source: the Alexandria database, functional PBE.

Values from the calculation:
Calculated total energy (eV per atom): -5.033
V (Å³ per atom): 7.28
Total magnetic moment (μB/atom): 0.588

Cell and atoms, written as CIF:
```
data_PuCo2H8
_space_group_name_H-M_alt 'I 4/m m m'
_space_group_IT_number 139
_space_group_name_Hall '-I 4 2'
_cell_length_a 3.927
_cell_length_b 3.927
_cell_length_c 10.378
_cell_angle_alpha 90.00
_cell_angle_beta 90.00
_cell_angle_gamma 90.00
loop_
_atom_site_label
_atom_site_type_symbol
_atom_site_fract_x
_atom_site_fract_y
_atom_site_fract_z
Pu1 Pu 0.000 0.000 0.000
Co1 Co 0.000 0.500 0.250
H1 H 0.226 0.226 0.338
```